# 1
PBE PrHo5In, optimized geometry; crystal system = orthorhombic; E = -4.257 eV/atom; formation energy = 0.09 eV/atom; space group = Imm2, No. 44; total moment = 0.00 μB per cell
1.0
-6.8505 -3.9479 7.7146
0.3856 -5.9144 -2.6843
5.6708 4.2627 -0.6920
Ho In Pr
5 1 1
direct
0.3540 0.7643 0.0000
0.8341 0.7552 0.5105
0.3236 0.2448 0.4895
0.3540 0.2357 0.0000
0.0999 0.5000 0.0000
0.8283 0.5000 0.0000
0.7368 0.0000 0.0000

=====

# 2
PBE Pr7Ho12In, optimized geometry; crystal system = triclinic; E = -4.572 eV/atom; formation energy = -0.02 eV/atom; space group = P-1, No. 2; total moment = 0.00 μB per cell
1.0
-0.6486 -11.2500 0.0696
8.0596 -1.6282 -4.6761
3.2197 0.9517 5.2006
Ho Pr In
12 7 1
direct
0.1443 0.0502 0.5546
0.0500 0.3460 0.8511
0.7092 0.8986 0.9007
0.3472 0.4482 0.9526
0.5965 0.1992 0.1978
0.1971 0.4031 0.4057
0.2908 0.1014 0.0993
0.8029 0.5969 0.5943
0.4035 0.8008 0.8022
0.8557 0.9498 0.4454
0.9500 0.6540 0.1489
0.6528 0.5518 0.0474
0.5557 0.8530 0.3489
0.4443 0.1470 0.6511
0.2477 0.7562 0.2514
0.7523 0.2438 0.7486
0.9006 0.3016 0.2947
0.5000 0.5000 0.5000
0.0994 0.6984 0.7053
0.0000 0.0000 0.0000

=====

# 3
PBE Pr6Ho5In, optimized geometry; crystal system = orthorhombic; E = -4.581 eV/atom; formation energy = -0.06 eV/atom; space group = Immm, No. 71; total moment = 0.00 μB per cell
1.0
4.8994 -0.0033 -1.3727
-3.4801 8.3417 -3.0136
0.0280 0.1281 9.5267
Pr In Ho
6 1 5
direct
0.7450 0.2452 0.2452
0.2550 0.7548 0.7548
0.2456 0.0795 0.4115
0.7544 0.9205 0.5885
0.2456 0.4115 0.0795
0.7544 0.5885 0.9205
0.0000 0.0000 0.0000
0.0000 0.3356 0.6644
0.5000 0.5000 0.5000
0.0000 0.6644 0.3356
0.5000 0.1673 0.8327
0.5000 0.8327 0.1673

=====

# 4
PBE PrHo2In3, optimized geometry; crystal system = tetragonal; E = -4.162 eV/atom; formation energy = -0.47 eV/atom; space group = P4/mmm, No. 123; offset from the most stable computed form = 0 meV/atom; total moment = 0.00 μB per cell
1.0
3.7720 0.0000 0.0000
0.0000 3.7720 0.0000
0.0000 0.0000 11.5515
In Ho Pr
3 2 1
direct
0.0000 0.0000 0.6805
0.0000 0.0000 0.0000
0.0000 0.0000 0.3195
0.5000 0.5000 0.1602
0.5000 0.5000 0.8398
0.5000 0.5000 0.5000

=====

# 5
PBE Pr12Ho6In, optimized geometry; crystal system = trigonal; E = -4.524 eV/atom; formation energy = 0.08 eV/atom; space group = R-3, No. 148; offset from the most stable computed form = 25 meV/atom; total moment = 0.00 μB per cell
1.0
8.7417 -0.3898 -0.9078
-0.9659 8.6969 -0.9078
-0.3649 -0.3898 8.7812
Ho Pr In
6 12 1
direct
0.8634 0.8622 0.5958
0.4042 0.1366 0.1378
0.5958 0.8634 0.8622
0.8622 0.5958 0.8634
0.1378 0.4042 0.1366
0.1366 0.1378 0.4042
0.2590 0.7411 0.9991
0.4204 0.4199 0.8286
0.4199 0.8286 0.4204
0.7410 0.2589 0.0009
0.8286 0.4204 0.4199
0.5801 0.1714 0.5796
0.5796 0.5801 0.1714
0.1714 0.5796 0.5801
0.7411 0.9991 0.2590
0.2589 0.0009 0.7410
0.0009 0.7410 0.2589
0.9991 0.2590 0.7411
0.0000 0.0000 0.0000

=====

# 6
PBE Pr2HoIn2, optimized geometry; crystal system = monoclinic; E = -4.288 eV/atom; formation energy = -0.37 eV/atom; space group = P2_1/m, No. 11; offset from the most stable computed form = 14 meV/atom; total moment = 0.00 μB per cell
1.0
-3.0000 1.9459 1.3664
-1.6823 -4.4476 2.6404
9.2174 2.8933 10.7463
In Pr Ho
4 4 2
direct
0.4456 0.7500 0.8915
0.3575 0.2500 0.7150
0.6425 0.7500 0.2850
0.5544 0.2500 0.1085
0.9539 0.2500 0.9078
0.2369 0.7500 0.4731
0.0461 0.7500 0.0922
0.7631 0.2500 0.5269
0.8522 0.7500 0.7037
0.1478 0.2500 0.2963

=====

# 7
PBE PrHoIn, optimized geometry; crystal system = tetragonal; E = -4.324 eV/atom; formation energy = -0.29 eV/atom; space group = I4mm, No. 107; offset from the most stable computed form = 46 meV/atom; total moment = 0.00 μB per cell
1.0
3.6165 0.0000 0.0000
0.0000 3.6165 0.0000
-1.8082 -1.8082 6.9560
In Pr Ho
1 1 1
direct
0.9441 0.9441 0.8882
0.6070 0.6070 0.2139
0.2989 0.2989 0.5979

=====

# 8
PBE Pr6HoIn4, optimized geometry; crystal system = tetragonal; E = -4.233 eV/atom; formation energy = -0.21 eV/atom; space group = I-42m, No. 121; total moment = 1.20 μB per cell
1.0
-8.8666 3.1458 -2.5816
6.5391 -6.8179 -2.4358
4.2823 -5.7514 6.6151
Ho Pr In
1 6 4
direct
0.0000 0.0000 0.0000
0.5000 0.5000 0.0000
0.4718 0.5577 0.5577
0.0000 0.4423 0.9142
0.0000 0.9142 0.4423
0.5282 0.0858 0.0858
0.5000 0.0000 0.5000
0.4761 0.3715 0.3715
0.0000 0.6285 0.1046
0.5239 0.8954 0.8954
0.0000 0.1046 0.6285

=====

# 9
PBE Pr2Ho4In, optimized geometry; crystal system = monoclinic; E = -4.407 eV/atom; formation energy = -0.03 eV/atom; space group = P2_1/m, No. 11; offset from the most stable computed form = 0 meV/atom; total moment = 0.00 μB per cell
1.0
5.6735 0.0000 -0.3914
0.0000 6.6881 0.0000
-2.2181 0.0000 11.6006
Ho In Pr
8 2 4
direct
0.9539 0.7500 0.8779
0.6364 0.0053 0.2845
0.6364 0.4947 0.2845
0.0461 0.2500 0.1221
0.1626 0.7500 0.4413
0.8374 0.2500 0.5587
0.3636 0.5053 0.7155
0.3636 0.9947 0.7155
0.1068 0.7500 0.1726
0.8932 0.2500 0.8274
0.4682 0.2500 0.9733
0.5318 0.7500 0.0267
0.7503 0.7500 0.5857
0.2497 0.2500 0.4143

=====

# 10
PBE Pr3HoIn12, optimized geometry; crystal system = tetragonal; E = -3.686 eV/atom; formation energy = -0.45 eV/atom; space group = P4/mmm, No. 123; total moment = 0.00 μB per cell
1.0
4.7088 0.0000 0.0000
0.0000 4.7088 0.0000
0.0000 0.0000 18.9041
In Pr Ho
12 3 1
direct
0.5000 0.5000 0.2487
0.5000 0.5000 0.5000
0.5000 0.5000 0.0000
0.5000 0.0000 0.8795
0.5000 0.0000 0.3735
0.5000 0.0000 0.6265
0.0000 0.5000 0.3735
0.5000 0.0000 0.1205
0.0000 0.5000 0.6265
0.0000 0.5000 0.8795
0.5000 0.5000 0.7513
0.0000 0.5000 0.1205
0.0000 0.0000 0.5000
0.0000 0.0000 0.2467
0.0000 0.0000 0.7533
0.0000 0.0000 0.0000

=====

# 11
PBE Pr7HoIn2, optimized geometry; crystal system = orthorhombic; E = -4.043 eV/atom; formation energy = 0.31 eV/atom; space group = Cmmm, No. 65; total moment = 0.00 μB per cell
1.0
-0.1561 0.6912 -5.4002
-9.3414 0.5564 0.3412
5.1303 7.7877 0.8486
Pr Ho In
7 1 2
direct
0.0000 0.2230 0.7770
0.5000 0.5000 0.5000
0.5000 0.0614 0.3020
0.0000 0.7770 0.2230
0.5000 0.6980 0.9386
0.5000 0.3020 0.0614
0.5000 0.9386 0.6980
0.0000 0.0000 0.0000
0.5000 0.3051 0.6949
0.5000 0.6949 0.3051

=====

# 12
PBE PrHoIn, optimized geometry; crystal system = hexagonal; E = -4.370 eV/atom; formation energy = -0.34 eV/atom; space group = P6_3/mmc, No. 194; offset from the most stable computed form = 0 meV/atom; total moment = 0.00 μB per cell
1.0
-4.8771 -2.2006 -1.2558
4.6151 -2.8336 -0.9363
-0.3905 -2.7009 6.2493
In Ho Pr
2 2 2
direct
0.6668 0.8332 0.2500
0.3332 0.1668 0.7500
0.6666 0.8334 0.7500
0.3334 0.1666 0.2500
0.0000 0.5000 0.5000
0.0000 0.5000 0.0000

=====

# 13
PBE Pr2Ho3In2, optimized geometry; crystal system = trigonal; E = -4.370 eV/atom; formation energy = -0.26 eV/atom; space group = R-3m, No. 166; total moment = 0.00 μB per cell
1.0
5.4717 0.0000 0.0000
-2.7359 4.7315 -0.1688
0.0000 -2.8643 8.2586
Ho Pr In
3 2 2
direct
0.6522 0.3045 0.4566
0.3478 0.6955 0.5434
0.5000 0.0000 0.0000
0.0780 0.1561 0.7338
0.9220 0.8439 0.2662
0.7823 0.5646 0.8466
0.2177 0.4354 0.1534

=====

# 14
PBE Pr2Ho8In, optimized geometry; crystal system = monoclinic; E = -4.503 eV/atom; formation energy = -0.06 eV/atom; space group = C2/m, No. 12; total moment = 0.00 μB per cell
1.0
4.9550 0.0000 0.0000
0.0000 7.8655 0.4528
-2.4775 -2.8696 8.5669
Ho Pr In
8 2 1
direct
0.8670 0.8272 0.7340
0.9562 0.2754 0.9124
0.1330 0.1728 0.2660
0.5883 0.4428 0.1765
0.0438 0.7246 0.0876
0.6798 0.9088 0.3595
0.3202 0.0912 0.6405
0.4117 0.5572 0.8235
0.7786 0.3648 0.5572
0.2214 0.6352 0.4428
0.5000 0.0000 0.0000

=====

# 15
PBE Pr4Ho3In2, optimized geometry; crystal system = triclinic; E = -4.437 eV/atom; formation energy = -0.18 eV/atom; space group = P-1, No. 2; total moment = 0.00 μB per cell
1.0
-1.9666 -4.4889 -2.3631
1.0871 -5.6685 3.5964
-6.9543 -3.3549 5.9144
Ho In Pr
3 2 4
direct
0.5830 0.1921 0.6428
0.4170 0.8079 0.3572
0.0000 0.0000 0.0000
0.2050 0.9073 0.6836
0.7950 0.0927 0.3164
0.1143 0.4282 0.3430
0.6681 0.6285 0.0351
0.8857 0.5718 0.6570
0.3319 0.3715 0.9649

=====

# 16
PBE Pr5HoIn3, optimized geometry; crystal system = hexagonal; E = -4.417 eV/atom; formation energy = -0.34 eV/atom; space group = P6_3/mcm, No. 193; total moment = 0.78 μB per cell
1.0
-6.4470 1.2788 -2.2632
3.0905 -0.5454 -9.1118
-3.1506 -7.9167 4.5016
Pr In Ho
10 6 2
direct
0.2500 0.3388 0.3388
0.2500 0.0000 0.6612
0.7500 0.3388 0.0000
0.7500 0.0000 0.3388
0.5000 0.3333 0.6667
0.7500 0.6612 0.6612
0.0000 0.6667 0.3333
0.0000 0.3333 0.6667
0.2500 0.6612 0.0000
0.5000 0.6667 0.3333
0.2500 0.3230 0.0000
0.2500 0.6771 0.6770
0.7500 0.0000 0.6770
0.7500 0.6770 0.0000
0.7500 0.3229 0.3230
0.2500 0.0000 0.3230
0.5000 0.0000 0.0000
0.0000 0.0000 0.0000

=====

# 17
PBE Pr4Ho3In, optimized geometry; crystal system = orthorhombic; E = -4.549 eV/atom; formation energy = -0.10 eV/atom; space group = Immm, No. 71; offset from the most stable computed form = 0 meV/atom; total moment = 0.00 μB per cell
1.0
-0.4005 2.0037 -4.5637
4.5364 -1.7359 -1.1602
-10.8296 -7.1192 0.5639
Ho Pr In
3 4 1
direct
0.8817 0.6455 0.7634
0.1183 0.3545 0.2366
0.0000 0.5000 0.0000
0.2469 0.2406 0.4937
0.6186 0.8555 0.2373
0.7531 0.7594 0.5063
0.3814 0.1445 0.7627
0.5000 0.0000 0.0000

=====

# 18
PBE Pr12Ho5In3, optimized geometry; crystal system = cubic; E = -3.731 eV/atom; formation energy = 0.69 eV/atom; space group = Ia-3d, No. 230; total moment = 0.03 μB per cell
1.0
-3.4360 -15.6857 1.8758
16.0291 2.0813 0.3204
-6.7749 8.4718 11.9873
Pr Ho In
48 20 12
direct
0.2314 0.6614 0.0876
0.9300 0.5737 0.1614
0.3563 0.9300 0.7686
0.4263 0.0700 0.3386
0.5700 0.2314 0.1437
0.8563 0.5876 0.9263
0.5737 0.6437 0.4124
0.8386 0.9263 0.0700
0.7314 0.5876 0.1614
0.3386 0.5700 0.4263
0.4124 0.1437 0.5737
0.7686 0.4300 0.3563
0.2686 0.8563 0.9300
0.0876 0.1614 0.2314
0.1614 0.0876 0.7314
0.5876 0.8563 0.4263
0.9263 0.8386 0.5700
0.4300 0.6614 0.0737
0.7314 0.1437 0.0700
0.7686 0.3386 0.9124
0.9124 0.0737 0.6437
0.3386 0.7686 0.4124
0.6437 0.5737 0.9124
0.0700 0.4263 0.8386
0.9300 0.3563 0.2686
0.9124 0.8386 0.7686
0.8386 0.9124 0.2686
0.9263 0.0876 0.8563
0.6614 0.2314 0.5876
0.5700 0.3386 0.9263
0.2314 0.5700 0.6437
0.1614 0.0737 0.9300
0.3563 0.4263 0.0876
0.0737 0.9124 0.1437
0.1437 0.7314 0.5700
0.0737 0.1614 0.4300
0.0876 0.9263 0.3563
0.5737 0.9300 0.6614
0.6614 0.4300 0.5737
0.5876 0.7314 0.6614
0.6437 0.0700 0.2314
0.4263 0.3563 0.5876
0.0700 0.6437 0.7314
0.1437 0.4124 0.0737
0.8563 0.2686 0.4300
0.4124 0.2686 0.3386
0.2686 0.4124 0.8386
0.4300 0.7686 0.8563
0.1250 0.7500 0.3750
0.7500 0.6250 0.3750
0.7500 0.1250 0.8750
0.3750 0.1250 0.7500
0.5000 0.5000 0.5000
0.5000 0.0000 0.0000
0.6250 0.7500 0.8750
0.0000 0.0000 0.0000
0.1250 0.3750 0.2500
0.8750 0.6250 0.7500
0.5000 0.0000 0.5000
0.8750 0.2500 0.6250
0.0000 0.5000 0.5000
0.2500 0.8750 0.1250
0.5000 0.5000 0.0000
0.6250 0.8750 0.2500
0.0000 0.0000 0.5000
0.0000 0.5000 0.0000
0.2500 0.3750 0.6250
0.3750 0.2500 0.1250
0.1250 0.2500 0.8750
0.2500 0.1250 0.3750
0.7500 0.8750 0.6250
0.6250 0.2500 0.3750
0.1250 0.8750 0.7500
0.2500 0.6250 0.8750
0.3750 0.6250 0.2500
0.8750 0.1250 0.2500
0.3750 0.7500 0.6250
0.8750 0.7500 0.1250
0.6250 0.3750 0.7500
0.7500 0.3750 0.1250